Tm2ThAl PBE-GGA relaxed; magnetization = 0.00 μB/cell; polymorph energy (0 for the lowest one) = 50.3 meV per atom
1.0
4.761 0.000 0.000
0.000 4.761 0.000
0.000 0.000 4.752
Tm Th Al
2 1 1
Cartesian
0.000 2.381 0.000
2.381 0.000 0.000
0.000 0.000 2.376
2.381 2.381 2.376